# 1
## Er3Cu2Au (PBE)

Data for a relaxed structure of Er3Cu2Au.

abc: 3.4772 3.4772 10.4915
angles: 90.00 90.00 90.00
Last column: nearest neighbours and their distance in Å.
Sites, in units of the cell vectors:
Cu1 0.5000 0.5000 0.1611  8 Er 2.98-3.01
Au1 0.5000 0.5000 0.5000  8 Er 3.06
Er1 0.0000 0.0000 0.0000  8 Cu 2.98
Er2 0.0000 0.0000 0.6740  4 Cu 3.01, 4 Au 3.06
Er3 0.0000 0.0000 0.3260  4 Cu 3.01, 4 Au 3.06
Cu2 0.5000 0.5000 0.8389  8 Er 2.98-3.01


# 2
## ErCu6Au6 (PBE)

Data for a relaxed structure of ErCu6Au6.

abc: 5.1600 6.8605 6.8605
angles: 82.08 67.91 67.91
Last column: nearest neighbours and their distance in Å.
Sites, in units of the cell vectors:
Cu1 0.5000 0.2386 0.7614  4 Cu 2.59, 6 Au 2.70-2.76
Cu2 0.0000 0.5000 0.0000  4 Cu 2.58-2.59, 6 Au 2.67-2.72
Au1 0.3399 0.6601 0.6601  6 Cu 2.72-2.76, 3 Au 2.87-2.95
Au2 0.0000 0.3345 0.6655  6 Cu 2.70-2.72, 1 Au 2.98, 1 Er 3.01
Au3 0.6601 0.3399 0.3399  6 Cu 2.72-2.76, 3 Au 2.87-2.95
Au4 0.3186 0.1814 0.1814  6 Cu 2.67-2.70, 2 Au 2.95
Cu3 0.5000 0.0000 0.5000  4 Cu 2.58-2.59, 6 Au 2.67-2.72
Au5 0.0000 0.6655 0.3345  6 Cu 2.70-2.72, 1 Au 2.98, 1 Er 3.01
Cu4 0.5000 0.7614 0.2386  4 Cu 2.59, 6 Au 2.70-2.76
Cu5 0.5000 0.5000 0.0000  4 Cu 2.58-2.59, 6 Au 2.67-2.72
Au6 0.6814 0.8186 0.8186  6 Cu 2.67-2.70, 2 Au 2.95
Er1 0.0000 0.0000 0.0000  8 Au 3.01-3.05, 4 Cu 3.36
Cu6 0.0000 0.0000 0.5000  4 Cu 2.58-2.59, 6 Au 2.67-2.72


# 3
## ErCu4Au (PBE)

Data for a relaxed structure of ErCu4Au.

abc: 5.0278 5.0278 5.0278
angles: 60.00 60.00 60.00
Last column: nearest neighbours and their distance in Å.
Sites, in units of the cell vectors:
Cu1 0.6244 0.6244 0.1268  6 Cu 2.50-2.53
Cu2 0.1268 0.6244 0.6244  6 Cu 2.50-2.53
Er1 0.0000 0.0000 0.0000  12 Cu 2.95, 4 Au 3.08
Cu3 0.6244 0.6244 0.6244  6 Cu 2.50-2.53
Au1 0.2500 0.2500 0.2500  12 Cu 2.95, 4 Er 3.08
Cu4 0.6244 0.1268 0.6244  6 Cu 2.50-2.53


# 4
## Er2Cu2Au (PBE)

Data for a relaxed structure of Er2Cu2Au.

abc: 3.9616 5.5447 10.2077
angles: 80.43 78.81 69.07
Last column: nearest neighbours and their distance in Å.
Sites, in units of the cell vectors:
Au1 0.2112 0.9008 0.6768  4 Cu 2.60-2.84
Cu1 0.9682 0.1689 0.8948  1 Cu 2.59, 1 Au 2.71
Au2 0.7888 0.0992 0.3232  4 Cu 2.60-2.84
Cu2 0.8686 0.7150 0.5477  1 Cu 2.51, 2 Au 2.60
Er1 0.5054 0.3248 0.6644  6 Cu 2.93-3.08, 3 Au 2.95-3.00
Cu3 0.0318 0.8311 0.1052  1 Cu 2.59, 1 Au 2.71
Er2 0.6857 0.7355 0.8932  5 Cu 2.93-2.99, 2 Au 2.99
Er3 0.4946 0.6752 0.3356  6 Cu 2.93-3.08, 3 Au 2.95-3.00
Cu4 0.1314 0.2850 0.4523  1 Cu 2.51, 2 Au 2.60
Er4 0.3143 0.2645 0.1068  5 Cu 2.93-2.99, 2 Au 2.99


# 5
## ErCu5Au7 (PBE)

Data for a relaxed structure of ErCu5Au7.

abc: 5.2273 6.9411 6.9411
angles: 81.41 67.88 67.88
Last column: nearest neighbours and their distance in Å.
Sites, in units of the cell vectors:
Au1 0.5070 0.1908 0.7951  5 Cu 2.62-2.74, 3 Au 2.79-2.91
Cu1 0.9999 0.9936 0.5027  3 Cu 2.58-2.63, 7 Au 2.62-2.80
Au2 0.9973 0.6651 0.3404  5 Cu 2.70-2.82, 4 Au 2.91-2.94
Au3 0.3267 0.6733 0.6733  6 Cu 2.67-2.75
Cu2 0.9999 0.5027 0.9936  3 Cu 2.58-2.63, 7 Au 2.62-2.80
Cu3 0.7338 0.7662 0.7662  4 Cu 2.58, 6 Au 2.74-2.82
Cu4 0.5038 0.5027 0.9936  3 Cu 2.58-2.63, 7 Au 2.62-2.80
Au4 0.5070 0.7951 0.1908  5 Cu 2.62-2.74, 3 Au 2.79-2.91
Au5 0.6553 0.3447 0.3447  4 Cu 2.79, 5 Au 2.83-3.05, 1 Er 3.10
Cu5 0.5038 0.9936 0.5027  3 Cu 2.58-2.63, 7 Au 2.62-2.80
Au6 0.9973 0.3404 0.6651  5 Cu 2.70-2.82, 4 Au 2.91-2.94
Au7 0.2735 0.2265 0.2265  4 Cu 2.66, 6 Au 2.79-2.92
Er1 0.9947 0.0053 0.0053  10 Au 3.03-3.30


# 6
## ErGaCuAu (PBE)

Data for a relaxed structure of ErGaCuAu.

abc: 4.6882 4.6882 4.6882
angles: 60.00 60.00 60.00
Last column: nearest neighbours and their distance in Å.
Sites, in units of the cell vectors:
Er1 0.0000 0.0000 0.0000  4 Cu 2.87, 4 Au 2.87
Au1 0.7500 0.7500 0.7500  4 Ga 2.87, 4 Er 2.87
Cu1 0.2500 0.2500 0.2500  4 Er 2.87, 4 Ga 2.87
Ga1 0.5000 0.5000 0.5000  4 Cu 2.87, 4 Au 2.87


Taking the records one at a time from the top gives electronic total energy values of -28.0, -52.0, -26.3, -22.8, -51.0, -16.9 eV per formula unit.
Taking the records one at a time from the top gives mass density values of 10.81, 13.78, 11.43, 10.71, 14.32, 11.34 g/cm3.
Taking the records one at a time from the top gives calculated formation energy values of -0.4775, -0.2429, -0.3417, -0.4480, -0.2347, -0.4895 eV per atom.